Entry 1:
Here is a crystal of ZrNbBi2 relaxed with PBEsol from the Alexandria database. Energies are from meta-GGA SCAN.

Unit cell a=4.997 b=4.997 c=4.997 alpha=60.00 beta=60.00 gamma=60.00
Sites, in units of the cell vectors:
Nb  0.500  0.500  0.500
Bi  0.250  0.250  0.250
Bi  0.750  0.750  0.750
Zr  0.000  0.000  0.000

Computed properties:
ΔE_f, kJ per mole of atoms: -7
Density of states at the Fermi level, states/eV/cell: 2.44
Magnetization, μB per cell: 0.000
Symmetry: Fm-3m (225)

---

Entry 2:
Here is a crystal of NdNiBi relaxed with PBEsol from the Alexandria database. Energies are from meta-GGA SCAN.

Unit cell a=4.616 b=4.616 c=4.616 alpha=60.00 beta=60.00 gamma=60.00
Sites, in units of the cell vectors:
Ni  0.250  0.250  0.250
Nd  0.500  0.500  0.500
Bi  0.000  0.000  0.000

Computed properties:
ΔE_f, kJ per mole of atoms: -74
Magnetization, μB per cell: 0.000
Symmetry: F-43m (216)

---

Entry 3:
Here is a crystal of NdBiO4 relaxed with PBEsol from the Alexandria database. Energies are from meta-GGA SCAN.

Unit cell a=5.318 b=5.668 c=6.741 alpha=112.13 beta=110.35 gamma=96.38
Sites, in units of the cell vectors:
Nd  0.386  0.136  0.273
Nd  0.614  0.864  0.727
Bi  0.849  0.599  0.197
Bi  0.151  0.401  0.803
O  0.719  0.550  0.437
O  0.782  0.113  0.563
O  0.468  0.235  0.947
O  0.021  0.288  0.053
O  0.979  0.712  0.947
O  0.532  0.765  0.053
O  0.218  0.887  0.437
O  0.281  0.450  0.563

Computed properties:
Magnetization, μB per cell: 0.000
Formation energy (no corrections), meV per atom: -2074
Symmetry: C2/c (15)

---

Entry 4:
Here is a crystal of NdBi3Ru4O14 relaxed with PBEsol from the Alexandria database. Energies are from meta-GGA SCAN.

Unit cell a=7.237 b=7.237 c=7.269 alpha=60.15 beta=60.15 gamma=60.00
Sites, in units of the cell vectors:
Nd  0.500  0.500  0.500
Bi  0.500  0.000  0.000
Bi  0.000  0.500  0.000
Bi  0.500  0.500  0.000
Ru  0.000  0.000  0.000
Ru  0.000  0.500  0.500
Ru  0.500  0.000  0.500
Ru  0.000  0.000  0.500
O  0.375  0.375  0.875
O  0.625  0.625  0.125
O  0.077  0.077  0.172
O  0.674  0.077  0.172
O  0.077  0.674  0.172
O  0.672  0.672  0.583
O  0.073  0.672  0.583
O  0.672  0.073  0.583
O  0.923  0.923  0.828
O  0.326  0.923  0.828
O  0.923  0.326  0.828
O  0.328  0.328  0.417
O  0.927  0.328  0.417
O  0.328  0.927  0.417

Computed properties:
Density of states at the Fermi level, states/eV/cell: 5.83
Magnetization, μB per cell: 0.000
Formation energy (no corrections), meV per atom: -1460
Symmetry: R-3m (166)

---

Entry 5:
Here is a crystal of Sr2NdBiO6 relaxed with PBEsol from the Alexandria database. Energies are from meta-GGA SCAN.

Unit cell a=5.943 b=6.128 c=8.503 alpha=90.00 beta=89.70 gamma=90.00
Sites, in units of the cell vectors:
Sr  0.515  0.049  0.249
Sr  0.985  0.549  0.251
Sr  0.485  0.951  0.751
Sr  0.015  0.451  0.749
Nd  0.500  0.500  0.000
Nd  0.000  0.000  0.500
Bi  0.500  0.500  0.500
Bi  0.000  0.000  0.000
O  0.286  0.194  0.946
O  0.214  0.694  0.554
O  0.714  0.806  0.054
O  0.786  0.306  0.446
O  0.189  0.715  0.940
O  0.311  0.215  0.560
O  0.811  0.285  0.060
O  0.689  0.785  0.440
O  0.606  0.544  0.737
O  0.894  0.044  0.763
O  0.394  0.456  0.263
O  0.106  0.956  0.237

Computed properties:
Density of states at the Fermi level, states/eV/cell: 0.00
Magnetization, μB per cell: 0.000
Formation energy (no corrections), meV per atom: -2558
Symmetry: P2_1/c (14)

---

Entry 6:
Here is a crystal of NiBi3 relaxed with PBEsol from the Alexandria database. Energies are from meta-GGA SCAN.

Unit cell a=4.090 b=8.799 c=11.279 alpha=90.00 beta=90.00 gamma=90.00
Sites, in units of the cell vectors:
Ni  0.750  0.411  0.019
Ni  0.250  0.589  0.981
Ni  0.750  0.911  0.481
Ni  0.250  0.089  0.519
Bi  0.250  0.299  0.888
Bi  0.750  0.701  0.112
Bi  0.250  0.799  0.612
Bi  0.750  0.201  0.388
Bi  0.250  0.385  0.589
Bi  0.750  0.615  0.411
Bi  0.250  0.885  0.911
Bi  0.750  0.115  0.089
Bi  0.750  0.091  0.679
Bi  0.250  0.909  0.321
Bi  0.750  0.591  0.821
Bi  0.250  0.409  0.179

Computed properties:
ΔE_f, kJ per mole of atoms: 7
Density of states at the Fermi level, states/eV/cell: 8.29
Magnetization, μB per cell: 0.000
Symmetry: Pnma (62)

---

Entry 7:
Here is a crystal of NiBi12O20 relaxed with PBEsol from the Alexandria database. Energies are from meta-GGA SCAN.

Unit cell a=8.718 b=8.718 c=8.718 alpha=109.47 beta=109.47 gamma=109.47
Sites, in units of the cell vectors:
Ni  0.000  0.000  0.000
Bi  0.506  0.694  0.838
Bi  0.494  0.332  0.188
Bi  0.144  0.306  0.812
Bi  0.668  0.162  0.856
Bi  0.856  0.668  0.162
Bi  0.306  0.812  0.144
Bi  0.332  0.188  0.494
Bi  0.694  0.838  0.506
Bi  0.812  0.144  0.306
Bi  0.838  0.506  0.694
Bi  0.188  0.494  0.332
Bi  0.162  0.856  0.668
O  0.209  0.000  0.000
O  0.791  0.791  0.791
O  0.000  0.000  0.209
O  0.000  0.209  0.000
O  0.604  0.000  0.000
O  0.396  0.396  0.396
O  0.000  0.000  0.604
O  0.000  0.604  0.000
O  0.253  0.640  0.874
O  0.747  0.621  0.387
O  0.234  0.360  0.613
O  0.379  0.126  0.766
O  0.766  0.379  0.126
O  0.360  0.613  0.234
O  0.621  0.387  0.747
O  0.640  0.874  0.253
O  0.613  0.234  0.360
O  0.874  0.253  0.640
O  0.387  0.747  0.621
O  0.126  0.766  0.379

Computed properties:
Density of states at the Fermi level, states/eV/cell: 6.34
Magnetization, μB per cell: 4.015
Formation energy (no corrections), meV per atom: -1088
Symmetry: I23 (197)

---

Entry 8:
Here is a crystal of Ni2BiO relaxed with PBEsol from the Alexandria database. Energies are from meta-GGA SCAN.

Unit cell a=4.200 b=4.200 c=4.200 alpha=60.00 beta=60.00 gamma=60.00
Sites, in units of the cell vectors:
Ni  0.250  0.250  0.250
Ni  0.750  0.750  0.750
Bi  0.500  0.500  0.500
O  0.000  0.000  0.000

Computed properties:
Density of states at the Fermi level, states/eV/cell: 1.80
Magnetization, μB per cell: 0.000
Formation energy (no corrections), meV per atom: 353
Symmetry: Fm-3m (225)

---

Entry 9:
Here is a crystal of Ti3NiBi2Pb2O12 relaxed with PBEsol from the Alexandria database. Energies are from meta-GGA SCAN.

Unit cell a=5.579 b=5.611 c=9.530 alpha=90.25 beta=74.82 gamma=59.85
Sites, in units of the cell vectors:
Ti  0.263  0.384  0.116
Ti  0.777  0.124  0.367
Ti  0.288  0.863  0.612
Ni  0.797  0.611  0.849
Bi  0.943  0.045  0.990
Bi  0.471  0.244  0.770
Pb  0.498  0.771  0.235
Pb  0.003  0.509  0.501
O  0.575  0.785  0.709
O  0.070  0.943  0.466
O  0.078  0.419  0.966
O  0.583  0.258  0.209
O  0.076  0.238  0.706
O  0.572  0.470  0.486
O  0.581  0.985  0.977
O  0.056  0.755  0.200
O  0.571  0.441  0.950
O  0.074  0.236  0.236
O  0.558  0.975  0.450
O  0.092  0.730  0.744

Computed properties:
Density of states at the Fermi level, states/eV/cell: 0.00
Magnetization, μB per cell: 1.941
Formation energy (no corrections), meV per atom: -2158
Symmetry: P1 (1)

---

Entry 10:
Here is a crystal of ZrNi2BiOs relaxed with PBEsol from the Alexandria database. Energies are from meta-GGA SCAN.

Unit cell a=4.573 b=4.573 c=4.866 alpha=90.00 beta=90.00 gamma=90.00
Sites, in units of the cell vectors:
Ni  0.000  0.500  0.000
Ni  0.500  0.000  0.000
Os  0.000  0.000  0.000
Bi  0.500  0.500  0.500
Zr  0.000  0.000  0.500

Computed properties:
ΔE_f, kJ per mole of atoms: 69
Density of states at the Fermi level, states/eV/cell: 3.85
Magnetization, μB per cell: 1.022
Symmetry: P4/mmm (123)

---

Entry 11:
Here is a crystal of NiBiPd3 relaxed with PBEsol from the Alexandria database. Energies are from meta-GGA SCAN.

Unit cell a=4.933 b=4.933 c=4.933 alpha=90.00 beta=90.00 gamma=90.00
Sites, in units of the cell vectors:
Ni  0.500  0.500  0.500
Bi  0.000  0.000  0.000
Pd  0.000  0.500  0.000
Pd  0.000  0.000  0.500
Pd  0.500  0.000  0.000

Computed properties:
ΔE_f, kJ per mole of atoms: 108
Density of states at the Fermi level, states/eV/cell: 5.47
Magnetization, μB per cell: 1.444
Symmetry: Pm-3m (221)

---

Entry 12:
Here is a crystal of PrNi2Bi2 relaxed with PBEsol from the Alexandria database. Energies are from meta-GGA SCAN.

Unit cell a=4.597 b=4.597 c=10.022 alpha=90.00 beta=90.00 gamma=90.00
Sites, in units of the cell vectors:
Pr  0.000  0.500  0.233
Pr  0.500  0.000  0.767
Ni  0.000  0.000  0.000
Ni  0.500  0.500  0.000
Ni  0.000  0.500  0.624
Ni  0.500  0.000  0.376
Bi  0.000  0.000  0.500
Bi  0.500  0.500  0.500
Bi  0.000  0.500  0.876
Bi  0.500  0.000  0.124

Computed properties:
ΔE_f, kJ per mole of atoms: -38
Density of states at the Fermi level, states/eV/cell: 4.52
Magnetization, μB per cell: 0.000
Symmetry: P4/nmm (129)

---

Entry 13:
Here is a crystal of PrNiBi relaxed with PBEsol from the Alexandria database. Energies are from meta-GGA SCAN.

Unit cell a=4.643 b=4.643 c=4.643 alpha=60.00 beta=60.00 gamma=60.00
Sites, in units of the cell vectors:
Pr  0.500  0.500  0.500
Ni  0.750  0.750  0.750
Bi  0.000  0.000  0.000

Computed properties:
ΔE_f, kJ per mole of atoms: -72
Magnetization, μB per cell: 0.000
Symmetry: F-43m (216)

---

Entry 14:
Here is a crystal of NiBiPt3 relaxed with PBEsol from the Alexandria database. Energies are from meta-GGA SCAN.

Unit cell a=4.564 b=4.564 c=4.564 alpha=90.00 beta=90.00 gamma=90.00
Sites, in units of the cell vectors:
Ni  0.000  0.000  0.000
Bi  0.500  0.500  0.500
Pt  0.000  0.500  0.000
Pt  0.000  0.000  0.500
Pt  0.500  0.000  0.000

Computed properties:
ΔE_f, kJ per mole of atoms: 72
Density of states at the Fermi level, states/eV/cell: 8.32
Magnetization, μB per cell: 1.536
Symmetry: Pm-3m (221)

---

Entry 15:
Here is a crystal of NiBi3Pt relaxed with PBEsol from the Alexandria database. Energies are from meta-GGA SCAN.

Unit cell a=4.960 b=4.960 c=4.960 alpha=90.00 beta=90.00 gamma=90.00
Sites, in units of the cell vectors:
Ni  0.000  0.000  0.000
Bi  0.000  0.500  0.000
Bi  0.000  0.000  0.500
Bi  0.500  0.000  0.000
Pt  0.500  0.500  0.500

Computed properties:
ΔE_f, kJ per mole of atoms: 57
Density of states at the Fermi level, states/eV/cell: 2.94
Magnetization, μB per cell: 0.000
Symmetry: Pm-3m (221)

---

Entry 16:
Here is a crystal of Ni2BiRh2 relaxed with PBEsol from the Alexandria database. Energies are from meta-GGA SCAN.

Unit cell a=3.649 b=3.649 c=6.331 alpha=106.75 beta=106.75 gamma=90.00
Sites, in units of the cell vectors:
Ni  0.397  0.397  0.793
Ni  0.603  0.603  0.207
Rh  0.250  0.750  0.500
Rh  0.750  0.250  0.500
Bi  0.000  0.000  0.000

Computed properties:
ΔE_f, kJ per mole of atoms: 34
Density of states at the Fermi level, states/eV/cell: 4.37
Magnetization, μB per cell: 3.015
Symmetry: I4/mmm (139)

---

Entry 17:
Here is a crystal of ZrNi2BiRh relaxed with PBEsol from the Alexandria database. Energies are from meta-GGA SCAN.

Unit cell a=4.592 b=4.592 c=4.725 alpha=90.00 beta=90.00 gamma=90.00
Sites, in units of the cell vectors:
Ni  0.000  0.500  0.000
Ni  0.500  0.000  0.000
Rh  0.000  0.000  0.500
Bi  0.500  0.500  0.500
Zr  0.000  0.000  0.000

Computed properties:
ΔE_f, kJ per mole of atoms: 87
Density of states at the Fermi level, states/eV/cell: 2.44
Magnetization, μB per cell: 0.000
Symmetry: P4/mmm (123)

---

Entry 18:
Here is a crystal of NiBi3Ru relaxed with PBEsol from the Alexandria database. Energies are from meta-GGA SCAN.

Unit cell a=5.147 b=5.147 c=5.147 alpha=90.00 beta=90.00 gamma=90.00
Sites, in units of the cell vectors:
Ru  0.000  0.000  0.000
Bi  0.000  0.500  0.000
Bi  0.000  0.000  0.500
Bi  0.500  0.000  0.000
Ni  0.500  0.500  0.500

Computed properties:
ΔE_f, kJ per mole of atoms: 95
Density of states at the Fermi level, states/eV/cell: 5.16
Magnetization, μB per cell: 1.256
Symmetry: Pm-3m (221)

---

Entry 19:
Here is a crystal of NiBi3Sb relaxed with PBEsol from the Alexandria database. Energies are from meta-GGA SCAN.

Unit cell a=5.118 b=5.118 c=5.118 alpha=90.00 beta=90.00 gamma=90.00
Sites, in units of the cell vectors:
Sb  0.500  0.500  0.500
Bi  0.000  0.500  0.000
Bi  0.000  0.000  0.500
Bi  0.500  0.000  0.000
Ni  0.000  0.000  0.000

Computed properties:
Density of states at the Fermi level, states/eV/cell: 4.17
Magnetization, μB per cell: 0.000
Formation energy (no corrections), meV per atom: 388
Symmetry: Pm-3m (221)

---

Entry 20:
Here is a crystal of Sc2Ni2Bi relaxed with PBEsol from the Alexandria database. Energies are from meta-GGA SCAN.

Unit cell a=3.373 b=7.149 c=7.149 alpha=90.00 beta=90.00 gamma=90.00
Sites, in units of the cell vectors:
Sc  0.500  0.164  0.664
Sc  0.500  0.664  0.836
Sc  0.500  0.836  0.336
Sc  0.500  0.336  0.164
Ni  0.000  0.379  0.879
Ni  0.000  0.879  0.621
Ni  0.000  0.621  0.121
Ni  0.000  0.121  0.379
Bi  0.000  0.000  0.000
Bi  0.000  0.500  0.500

Computed properties:
ΔE_f, kJ per mole of atoms: -53
Density of states at the Fermi level, states/eV/cell: 6.14
Magnetization, μB per cell: 0.000
Symmetry: P4/mbm (127)

---

Entry 21:
Here is a crystal of Sc2NiBi relaxed with PBEsol from the Alexandria database. Energies are from meta-GGA SCAN.

Unit cell a=3.551 b=3.551 c=9.066 alpha=78.71 beta=78.71 gamma=60.00
Sites, in units of the cell vectors:
Sc  0.887  0.887  0.339
Sc  0.113  0.113  0.661
Ni  0.500  0.500  0.500
Bi  0.000  0.000  0.000

Computed properties:
ΔE_f, kJ per mole of atoms: -14
Density of states at the Fermi level, states/eV/cell: 3.04
Magnetization, μB per cell: 0.532
Symmetry: R-3m (166)

---

Entry 22:
Here is a crystal of NiBi2Se relaxed with PBEsol from the Alexandria database. Energies are from meta-GGA SCAN.

Unit cell a=6.134 b=6.134 c=7.535 alpha=114.02 beta=114.02 gamma=90.00
Sites, in units of the cell vectors:
Ni  0.750  0.250  0.500
Ni  0.500  0.500  0.000
Bi  0.436  0.875  0.250
Bi  0.814  0.375  0.250
Bi  0.125  0.186  0.750
Bi  0.625  0.564  0.750
Se  0.250  0.750  0.500
Se  0.000  0.000  0.000

Computed properties:
Density of states at the Fermi level, states/eV/cell: 1.22
Magnetization, μB per cell: 0.000
Formation energy (no corrections), meV per atom: 152
Symmetry: I-42d (122)

---

Entry 23:
Here is a crystal of Ni2BiSe2 relaxed with PBEsol from the Alexandria database. Energies are from meta-GGA SCAN.

Unit cell a=4.033 b=4.033 c=6.046 alpha=109.48 beta=109.48 gamma=90.00
Sites, in units of the cell vectors:
Ni  0.381  0.381  0.763
Ni  0.619  0.619  0.237
Bi  0.000  0.000  0.000
Se  0.250  0.750  0.500
Se  0.750  0.250  0.500

Computed properties:
Density of states at the Fermi level, states/eV/cell: 3.76
Magnetization, μB per cell: 0.000
Formation energy (no corrections), meV per atom: 229
Symmetry: I4/mmm (139)